Entry 1:
The following is a PBE calculation of a relaxed SrPmAsO crystal, from OQMD.

```
SrPmAsO
1.0
-0.6729 -1.8153 3.7803
-0.6061 -6.0111 -2.9944
7.0906 -1.0843 0.7414
Pm As Sr O
2 2 2 2
Direct
0.0000 0.1364 0.4417 Pm
0.0000 0.8636 0.9417 Pm
0.0000 0.7256 0.3277 As
0.0000 0.2744 0.8277 As
0.5000 0.5487 0.6021 Sr
0.5000 0.4513 0.1021 Sr
0.5000 0.2489 0.3825 O
0.5000 0.7511 0.8825 O
```

Calculated values
offset from the most stable computed form = 93 meV per atom

=====

Entry 2:
The following is a PBE calculation of a relaxed Y4Fe3W2C3 crystal, from OQMD.

```
Y4Fe3W2C3
1.0
-2.6030 1.2453 4.8909
-0.2997 -3.9415 4.0771
12.9897 5.3786 2.4847
C W Y Fe
6 4 8 6
Direct
0.3433 0.7942 0.0027 C
0.0000 0.5000 0.0000 C
0.6567 0.2058 0.9973 C
0.2058 0.6567 0.4973 C
0.7942 0.3433 0.5027 C
0.5000 0.0000 0.5000 C
0.7098 0.5145 0.0755 W
0.2902 0.4855 0.9245 W
0.4855 0.2902 0.4245 W
0.5145 0.7098 0.5755 W
0.3652 0.1826 0.0968 Y
0.1248 0.9682 0.3794 Y
0.1826 0.3652 0.5968 Y
0.8752 0.0318 0.6206 Y
0.0318 0.8752 0.1206 Y
0.8174 0.6348 0.4032 Y
0.9682 0.1248 0.8794 Y
0.6348 0.8174 0.9032 Y
0.9571 0.5860 0.7595 Fe
0.3908 0.6092 0.7500 Fe
0.0429 0.4140 0.2405 Fe
0.6092 0.3908 0.2500 Fe
0.5860 0.9571 0.2595 Fe
0.4140 0.0429 0.7405 Fe
```

Calculated values
energy = -8.709 eV per atom

=====

Entry 3:
The following is a PBE calculation of a relaxed RbNdCdTe3 crystal, from OQMD.

```
RbNdCdTe3
1.0
9.5817 0.0000 0.0000
0.0000 4.6156 0.0000
-3.5320 0.0000 10.6110
Cd Te Nd Rb
2 6 2 2
Direct
0.0815 0.2500 0.1131 Cd
0.9185 0.7500 0.8869 Cd
0.2309 0.7500 0.0514 Te
0.4673 0.7500 0.6584 Te
0.7691 0.2500 0.9486 Te
0.9188 0.7500 0.6352 Te
0.0812 0.2500 0.3648 Te
0.5327 0.2500 0.3416 Te
0.6845 0.2500 0.6326 Nd
0.3155 0.7500 0.3674 Nd
0.2396 0.2500 0.7685 Rb
0.7604 0.7500 0.2315 Rb
```

Calculated values
energy = -3.750 eV per atom

=====

Entry 4:
The following is a PBE calculation of a relaxed PmUPb crystal, from OQMD.

```
PmUPb
1.0
0.9940 -2.4266 4.5990
-3.2527 -3.7933 1.7486
1.5982 -5.0469 0.0387
Pm U Pb
1 1 1
Direct
0.2500 0.2500 0.2500 Pm
0.7500 0.7500 0.7500 U
0.0000 0.0000 0.0000 Pb
```

Calculated values
offset from the most stable computed form = 0 meV per atom

=====

Entry 5:
The following is a PBE calculation of a relaxed TbErGa2Ir4 crystal, from OQMD.

```
TbErGa2Ir4
1.0
4.5765 0.0000 0.0000
0.0000 4.5765 0.0000
0.0000 0.0000 6.4864
Ir Er Ga Tb
4 1 2 1
Direct
0.0000 0.5000 0.7532 Ir
0.5000 0.0000 0.7532 Ir
0.5000 0.0000 0.2468 Ir
0.0000 0.5000 0.2468 Ir
0.0000 0.0000 0.0000 Er
0.0000 0.0000 0.5000 Ga
0.5000 0.5000 0.0000 Ga
0.5000 0.5000 0.5000 Tb
```

Calculated values
offset from the most stable computed form = 11 meV per atom

=====

Entry 6:
The following is a PBE calculation of a relaxed ScCo crystal, from OQMD.

```
ScCo
1.0
-3.1596 1.9096 -1.7668
1.4388 -3.4829 -1.5970
-3.2773 -2.7021 2.9405
Co Sc
2 2
Direct
0.0000 0.0000 0.9366 Co
0.3333 0.6667 0.4366 Co
0.0000 0.0000 0.4384 Sc
0.3333 0.6667 0.9384 Sc
```

Calculated values
energy relative to the elements = 0.566 eV/atom

=====

The following calculated volume values (in Å³/atom) correspond, in order, to the records above: 25.8; 16.3; 39.1; 35.0; 17.0; 18.7.